# TaCo3S, optimized geometry, DFT PBE
data_TaCo3S
_space_group_name_H-M_alt 'P m -3 m'
_space_group_IT_number 221
_space_group_name_Hall '-P 4 2 3'
_cell_length_a 4.080
_cell_length_b 4.080
_cell_length_c 4.080
_cell_angle_alpha 90.00
_cell_angle_beta 90.00
_cell_angle_gamma 90.00
loop_
_atom_site_label
_atom_site_fract_x
_atom_site_fract_y
_atom_site_fract_z
Ta1 0.000 0.000 0.000
Co1 0.000 0.500 0.500
S1 0.500 0.500 0.500
# Formation energy (no corrections), eV/atom: 0.336
# DFT total energy, eV per cell: -35.6
# Volume, Å³/cell: 68
# ΔE to the lowest computed polymorph, meV/atom: 0



# Sn3IrBr, optimized geometry, DFT PBE
data_Sn3IrBr
_space_group_name_H-M_alt 'P m -3 m'
_space_group_IT_number 221
_space_group_name_Hall '-P 4 2 3'
_cell_length_a 5.217
_cell_length_b 5.217
_cell_length_c 5.217
_cell_angle_alpha 90.00
_cell_angle_beta 90.00
_cell_angle_gamma 90.00
loop_
_atom_site_label
_atom_site_fract_x
_atom_site_fract_y
_atom_site_fract_z
Sn1 0.000 0.000 0.500
Ir1 0.000 0.000 0.000
Br1 0.500 0.500 0.500
# Formation energy (no corrections), eV/atom: -0.065
# DFT total energy, eV per cell: -22.9
# Volume, Å³/cell: 142
# ΔE to the lowest computed polymorph, meV/atom: 0



# TiNiSb, optimized geometry, DFT PBE
data_TiNiSb
_space_group_name_H-M_alt 'F -4 3 m'
_space_group_IT_number 216
_space_group_name_Hall 'F -4 2 3'
_cell_length_a 5.950
_cell_length_b 5.950
_cell_length_c 5.950
_cell_angle_alpha 90.00
_cell_angle_beta 90.00
_cell_angle_gamma 90.00
loop_
_atom_site_label
_atom_site_fract_x
_atom_site_fract_y
_atom_site_fract_z
Ti1 0.000 0.000 0.000
Ni1 0.250 0.250 0.750
Sb1 0.000 0.000 0.500
# Formation energy (no corrections), eV/atom: -0.494
# DFT total energy, eV per cell: -77.1
# Volume, Å³/cell: 211



# Sr5CdO6, optimized geometry, DFT PBE
data_Sr5CdO6
_space_group_name_H-M_alt 'C 1 2/m 1'
_space_group_IT_number 12
_space_group_name_Hall '-C 2y'
_cell_length_a 6.296
_cell_length_b 10.897
_cell_length_c 6.283
_cell_angle_alpha 90.00
_cell_angle_beta 109.51
_cell_angle_gamma 90.00
loop_
_atom_site_label
_atom_site_fract_x
_atom_site_fract_y
_atom_site_fract_z
Sr1 0.000 0.000 0.000
Sr2 0.000 0.167 0.500
Sr3 0.000 0.336 0.000
Cd1 0.000 0.500 0.500
O1 0.247 0.500 0.252
O2 0.248 0.335 0.749
# Formation energy (no corrections), eV/atom: -2.439
# DFT total energy, eV per cell: -136.7
# Volume, Å³/cell: 406



Q: Which value of formation energy (no corrections) does entry 3 give?
A: -0.494 eV/atom